Model 1:
First-principles (PBEsol) data for an optimized crystal structure of LiY2Pt, as listed in Alexandria via LeMat-Bulk.

Values from the calculation:
ρ in g/cm3: 7.5

Cell: 4.8177 4.8177 3.6289 Å, 90.00 90.00 90.00°
With the nearest neighbours (Å) after each atom.
Space group P4/mmm (No. 123)
Asymmetric unit:
1 Li 0.0000 0.0000 0.0000 x1  8 Y 3.02
2 Y 0.0000 0.5000 0.5000 x2  4 Li 3.02, 4 Pt 3.02
3 Pt 0.5000 0.5000 0.0000 x1  8 Y 3.02

Model 2:
First-principles (PBEsol) data for an optimized crystal structure of LiY2Pt, as listed in Alexandria via LeMat-Bulk.

Values from the calculation:
ρ in g/cm3: 7.1

Cell: 4.4761 3.7738 10.4885 Å, 90.00 90.00 90.00°
With the nearest neighbours (Å) after each atom.
Space group Amm2 (No. 38)
Asymmetric unit:
1 Li 0.0000 0.0000 0.0000 x2  2 Pt 2.68, 2 Y 2.90
2 Y 0.0000 0.0000 0.2905 x2  3 Li 2.90-3.05, 4 Pt 3.02
3 Y 0.5000 0.0000 0.5716 x2  3 Pt 2.91-3.02, 4 Li 3.02
4 Pt 0.5000 0.0000 0.8600 x2  2 Li 2.68, 2 Y 2.91

Model 3:
First-principles (PBEsol) data for an optimized crystal structure of LiY2Pt, as listed in Alexandria via LeMat-Bulk.

Values from the calculation:
ρ in g/cm3: 7.5

Cell: 6.9565 6.9565 6.9565 Å, 90.00 90.00 90.00°
With the nearest neighbours (Å) after each atom.
Space group Fm-3m (No. 225)
Asymmetric unit:
1 Li 0.0000 0.0000 0.0000 x4  8 Y 3.01
2 Y 0.2500 0.2500 0.2500 x8  4 Li 3.01, 4 Pt 3.01
3 Pt 0.0000 0.0000 0.5000 x4  8 Y 3.01

Model 4:
First-principles (PBEsol) data for an optimized crystal structure of LiY2Pt, as listed in Alexandria via LeMat-Bulk.

Values from the calculation:
ρ in g/cm3: 8.1

Cell: 6.7823 6.7823 6.7823 Å, 90.00 90.00 90.00°
With the nearest neighbours (Å) after each atom.
Space group F-43m (No. 216)
Asymmetric unit:
1 Li 0.0000 0.0000 0.0000 x4  4 Y 2.94, 4 Pt 2.94
2 Y 0.0000 0.0000 0.5000 x4  4 Pt 2.94, 4 Y 2.94
3 Y 0.2500 0.2500 0.2500 x4  4 Y 2.94, 4 Li 2.94
4 Pt 0.2500 0.2500 0.7500 x4  4 Li 2.94, 4 Y 2.94

Name the least stable of them. model 4.